[1]
Here is a relaxed MgTl8 crystal from Alexandria via LeMat-Bulk. Energies are from PBEsol.

Cell: 4.7198 7.6030 7.6030 Å, 84.47 71.92 71.92°
With the nearest neighbours (Å) after each atom.
Fractional coordinates of all 9 atoms:
Tl1 0.3362 0.0000 0.3276  2 Mg 3.34, 10 Tl 3.35-3.44
Tl2 0.3296 0.6704 0.6704  11 Tl 3.35-3.48, 1 Mg 3.37
Tl3 0.0000 0.3296 0.6704  11 Tl 3.35-3.48, 1 Mg 3.37
Tl4 0.0000 0.6704 0.3296  11 Tl 3.35-3.48, 1 Mg 3.37
Tl5 0.3362 0.3276 0.0000  2 Mg 3.34, 10 Tl 3.35-3.44
Tl6 0.6638 0.0000 0.6724  2 Mg 3.34, 10 Tl 3.35-3.44
Tl7 0.6638 0.6724 0.0000  2 Mg 3.34, 10 Tl 3.35-3.44
Tl8 0.6704 0.3296 0.3296  11 Tl 3.35-3.48, 1 Mg 3.37
Mg1 0.0000 0.0000 0.0000  12 Tl 3.34-3.37

Calculated values
Size of the total moment = 0.00 μB per formula unit
Calculated total energy = -22.698 eV per formula unit
Formation enthalpy at 0 K = 0.06 eV/f.u.

=====

[2]
Here is a relaxed ScSeNO2 crystal from Alexandria via LeMat-Bulk. Energies are from PBEsol.

Cell: 3.9467 3.9467 4.2877 Å, 90.00 90.00 90.00°
With the nearest neighbours (Å) after each atom.
Fractional coordinates of all 5 atoms:
O1 0.5000 0.0000 0.0000  2 Sc 1.97
O2 0.0000 0.5000 0.0000  2 Sc 1.97
Sc1 0.0000 0.0000 0.0000  4 O 1.97, 2 N 2.14
Se1 0.5000 0.5000 0.5000  4 N 2.79, 8 O 2.91
N1 0.0000 0.0000 0.5000  2 Sc 2.14

Calculated values
Size of the total moment = 0.99 μB per formula unit
Calculated total energy = -30.759 eV per formula unit

=====

[3]
Here is a relaxed BPbSe2N crystal from Alexandria via LeMat-Bulk. Energies are from PBEsol.

Cell: 2.7185 5.9233 5.9233 Å, 90.00 90.00 90.00°
With the nearest neighbours (Å) after each atom.
Fractional coordinates of all 5 atoms:
B1 0.0000 0.0000 0.0000  2 N 1.36
N1 0.5000 0.0000 0.0000  2 B 1.36
Se1 0.0000 0.0000 0.5000  2 Se 2.72, 2 B 2.96
Se2 0.0000 0.5000 0.0000  2 Se 2.72, 2 B 2.96
Pb1 0.5000 0.5000 0.5000  2 Pb 2.72

Calculated values
Size of the total moment = 0.00 μB per formula unit
Calculated total energy = -26.840 eV per formula unit

=====

[4]
Here is a relaxed ZnCr4CoO8 crystal from Alexandria via LeMat-Bulk. Energies are from PBEsol.

Cell: 5.8677 5.8677 5.8677 Å, 60.00 60.00 60.00°
With the nearest neighbours (Å) after each atom.
Fractional coordinates of all 14 atoms:
O1 0.8640 0.8640 0.4080  1 Co 1.95, 3 Cr 1.99
O2 0.3870 0.3870 0.3870  1 Zn 1.97, 3 Cr 1.98
O3 0.3870 0.3870 0.8391  1 Zn 1.97, 3 Cr 1.98
O4 0.8640 0.8640 0.8640  1 Co 1.95, 3 Cr 1.99
O5 0.3870 0.8391 0.3870  1 Zn 1.97, 3 Cr 1.98
O6 0.4080 0.8640 0.8640  1 Co 1.95, 3 Cr 1.99
O7 0.8640 0.4080 0.8640  1 Co 1.95, 3 Cr 1.99
O8 0.8391 0.3870 0.3870  1 Zn 1.97, 3 Cr 1.98
Zn1 0.2500 0.2500 0.2500  4 O 1.97
Co1 0.0000 0.0000 0.0000  4 O 1.95
Cr1 0.1253 0.6249 0.6249  6 O 1.98-1.99
Cr2 0.6249 0.1253 0.6249  6 O 1.98-1.99
Cr3 0.6249 0.6249 0.1253  6 O 1.98-1.99
Cr4 0.6249 0.6249 0.6249  6 O 1.98-1.99

Calculated values
Size of the total moment = 14.89 μB per formula unit
Calculated total energy = -115.753 eV per formula unit

=====

[5]
Here is a relaxed YCrReSe2 crystal from Alexandria via LeMat-Bulk. Energies are from PBEsol.

Cell: 5.2375 5.3121 5.3121 Å, 90.00 90.00 90.00°
With the nearest neighbours (Å) after each atom.
Fractional coordinates of all 5 atoms:
Y1 0.0000 0.0000 0.0000  2 Re 2.62, 4 Se 2.66
Se1 0.0000 0.0000 0.5000  2 Y 2.66
Se2 0.0000 0.5000 0.0000  2 Y 2.66
Cr1 0.5000 0.5000 0.5000  8 Se 3.73, 4 Re 3.76
Re1 0.5000 0.0000 0.0000  2 Y 2.62

Calculated values
Size of the total moment = 8.61 μB per formula unit
Calculated total energy = -30.735 eV per formula unit

=====

[6]
Here is a relaxed LaNb2Ge2 crystal from Alexandria via LeMat-Bulk. Energies are from PBEsol.

Cell: 4.0888 4.0888 6.7231 Å, 107.70 107.70 90.00°
With the nearest neighbours (Å) after each atom.
Fractional coordinates of all 5 atoms:
Nb1 0.2500 0.7500 0.5000  4 Ge 2.69, 4 Nb 2.89
Nb2 0.7500 0.2500 0.5000  4 Ge 2.69, 4 Nb 2.89
Ge1 0.6063 0.6063 0.2126  1 Ge 2.58, 4 Nb 2.69
Ge2 0.3937 0.3937 0.7874  1 Ge 2.58, 4 Nb 2.69
La1 0.0000 0.0000 0.0000  8 Ge 3.17

Calculated values
Size of the total moment = 0.00 μB per formula unit
Calculated total energy = -40.061 eV per formula unit
Formation enthalpy at 0 K = -3.19 eV/f.u.

=====

[7]
Here is a relaxed In2RhPb crystal from Alexandria via LeMat-Bulk. Energies are from PBEsol.

Cell: 4.3792 4.3792 5.3309 Å, 114.25 114.25 90.00°
With the nearest neighbours (Å) after each atom.
Fractional coordinates of all 4 atoms:
Rh1 0.0000 0.0000 0.0000  8 In 3.08, 4 Pb 3.10
In1 0.7500 0.2500 0.5000  4 Pb 3.08, 4 Rh 3.08, 4 In 3.10
In2 0.2500 0.7500 0.5000  4 Pb 3.08, 4 Rh 3.08, 4 In 3.10
Pb1 0.5000 0.5000 0.0000  8 In 3.08, 4 Rh 3.10

Calculated values
Size of the total moment = 0.00 μB per formula unit
Calculated total energy = -17.504 eV per formula unit
Formation enthalpy at 0 K = 0.60 eV/f.u.

=====

[8]
Here is a relaxed In2SCl crystal from Alexandria via LeMat-Bulk. Energies are from PBEsol.

Cell: 4.9986 4.9986 4.9986 Å, 60.00 60.00 60.00°
With the nearest neighbours (Å) after each atom.
Fractional coordinates of all 4 atoms:
In1 0.7500 0.7500 0.7500  4 Cl 3.06, 4 S 3.06
In2 0.2500 0.2500 0.2500  4 S 3.06, 4 Cl 3.06
S1 0.0000 0.0000 0.0000  8 In 3.06
Cl1 0.5000 0.5000 0.5000  8 In 3.06

Calculated values
Size of the total moment = 0.00 μB per formula unit
Calculated total energy = -13.925 eV per formula unit

=====

[9]
Here is a relaxed BaCoO3 crystal from Alexandria via LeMat-Bulk. Energies are from PBEsol.

Cell: 4.7033 5.6246 5.6246 Å, 120.00 90.00 90.00°
With the nearest neighbours (Å) after each atom.
Fractional coordinates of all 10 atoms:
O1 0.2500 0.1487 0.2975  2 Co 1.87
O2 0.2500 0.1487 0.8513  2 Co 1.87
O3 0.2500 0.7025 0.8513  2 Co 1.87
O4 0.7500 0.8513 0.7025  2 Co 1.87
O5 0.7500 0.8513 0.1487  2 Co 1.87
O6 0.7500 0.2975 0.1487  2 Co 1.87
Ba1 0.2500 0.6667 0.3333  12 O 2.82-2.96
Ba2 0.7500 0.3333 0.6667  12 O 2.82-2.96
Co1 0.5000 0.0000 0.0000  6 O 1.87
Co2 0.0000 0.0000 0.0000  6 O 1.87

Calculated values
Size of the total moment = 1.01 μB per formula unit
Calculated total energy = -34.908 eV per formula unit

=====

[10]
Here is a relaxed YOs2Br crystal from Alexandria via LeMat-Bulk. Energies are from PBEsol.

Cell: 3.7956 5.0576 5.4176 Å, 117.82 110.51 90.00°
With the nearest neighbours (Å) after each atom.
Fractional coordinates of all 4 atoms:
Br1 0.2998 0.7998 0.5995  2 Os 2.74
Y1 0.4991 0.4991 0.9982  6 Os 2.97-3.17, 4 Br 3.08-3.26
Os1 0.6760 0.1760 0.3520  2 Os 2.32
Os2 0.0251 0.0251 0.0502  2 Os 2.32

Calculated values
Size of the total moment = 0.00 μB per formula unit
Polymorph energy (0 for the lowest one) = 56.2 meV per atom
Calculated total energy = -31.442 eV per formula unit

=====

[11]
Here is a relaxed Te5Ir crystal from Alexandria via LeMat-Bulk. Energies are from PBEsol.

Cell: 4.0561 6.5711 7.2217 Å, 67.47 73.69 72.02°
With the nearest neighbours (Å) after each atom.
Fractional coordinates of all 6 atoms:
Te1 0.7908 0.4480 0.9704  1 Ir 2.65
Te2 0.5701 0.0004 0.8594  2 Ir 2.67
Te3 0.0980 0.5520 0.2521  1 Ir 2.65
Te4 0.4443 0.5002 0.6113  6 Te 3.04-3.15
Te5 0.3190 0.9996 0.3625  2 Ir 2.67
Ir1 0.9446 0.9999 0.1110  6 Te 2.65-2.67

Calculated values
Size of the total moment = 0.00 μB per formula unit
Calculated total energy = -28.209 eV per formula unit

=====

[12]
Here is a relaxed TcNi2H2 crystal from Alexandria via LeMat-Bulk. Energies are from PBEsol.

Cell: 2.6053 2.6053 6.1448 Å, 102.24 102.24 90.00°
With the nearest neighbours (Å) after each atom.
Fractional coordinates of all 5 atoms:
Tc1 0.0000 0.0000 0.0000  4 Tc 2.61, 8 Ni 2.61
H1 0.2500 0.7500 0.5000  4 Ni 1.69, 4 H 1.84
H2 0.7500 0.2500 0.5000  4 Ni 1.69, 4 H 1.84
Ni1 0.3425 0.3425 0.6850  4 H 1.69
Ni2 0.6575 0.6575 0.3150  4 H 1.69

Calculated values
Size of the total moment = 0.00 μB per formula unit
Calculated total energy = -30.180 eV per formula unit

=====

[13]
Here is a relaxed Nb3CoPd crystal from Alexandria via LeMat-Bulk. Energies are from PBEsol.

Cell: 4.7508 4.7508 4.7508 Å, 90.00 90.00 90.00°
With the nearest neighbours (Å) after each atom.
Fractional coordinates of all 5 atoms:
Nb1 0.5000 0.0000 0.0000  2 Pd 2.38
Nb2 0.0000 0.5000 0.0000  2 Pd 2.38
Nb3 0.0000 0.0000 0.5000  2 Pd 2.38
Pd1 0.0000 0.0000 0.0000  6 Nb 2.38
Co1 0.5000 0.5000 0.5000  12 Nb 3.36

Calculated values
Size of the total moment = 1.56 μB per formula unit
Calculated total energy = -37.489 eV per formula unit
Formation enthalpy at 0 K = 8.67 eV/f.u.

=====

[14]
Here is a relaxed ZrCoBr crystal from Alexandria via LeMat-Bulk. Energies are from PBEsol.

Cell: 3.4208 3.4208 5.6922 Å, 90.00 90.00 120.00°
With the nearest neighbours (Å) after each atom.
Fractional coordinates of all 3 atoms:
Co1 0.3333 0.6667 0.6260  3 Zr 2.45
Br1 0.0000 0.0000 0.0018  3 Zr 2.89, 3 Co 2.91
Zr1 0.6667 0.3333 0.3722  3 Co 2.45

Calculated values
Size of the total moment = 0.00 μB per formula unit
Calculated total energy = -19.345 eV per formula unit